(1)
First-principles (PBE-GGA) data for a geometry-optimized Cs2KHgH4 structure, as listed in Alexandria via LeMat-Bulk.

The structure belongs to space group I-4 (No. 82); the cell edges are 6.912, 6.912 and 8.462 Å and the angles 90.00°, 90.00° and 90.00°. The distinct sites, in fractional coordinates, are Cs at (0.000, 0.000, 0.000), Cs at (0.000, 0.500, 0.250), K at (0.000, 0.000, 0.500), Hg at (0.000, 0.500, 0.750) and H at (0.156, 0.696, 0.653).

Its total energy is -2.03 eV per atom.

---

(2)
First-principles (PBE-GGA) data for a geometry-optimized HfTc2HPt structure, as listed in Alexandria via LeMat-Bulk.

The structure belongs to space group P4/mmm (No. 123); the cell edges are 3.990, 3.990 and 4.168 Å and the angles 90.00°, 90.00° and 90.00°. The distinct sites, in fractional coordinates, are Hf at (0.000, 0.000, 0.000), Tc at (0.000, 0.500, 0.500), H at (0.500, 0.500, 0.500) and Pt at (0.500, 0.500, 0.000).

The calculation puts the offset from the most stable computed form at 63 meV/atom.

---

(3)
First-principles (PBE-GGA) data for a geometry-optimized K2TcPt structure, as listed in Alexandria via LeMat-Bulk.

The structure belongs to space group Pmmm (No. 47); the cell edges are 4.041, 4.055 and 5.507 Å and the angles 90.00°, 90.00° and 90.00°. The distinct sites, in fractional coordinates, are K at (0.000, 0.000, 0.000), K at (0.500, 0.500, 0.000), Tc at (0.000, 0.500, 0.500) and Pt at (0.500, 0.000, 0.500).

The calculation puts the formation energy from the elements at 0.908 eV per atom. The calculation puts the offset from the most stable computed form at 482 meV/atom.

---

(4)
First-principles (PBE-GGA) data for a geometry-optimized NdMnTcGe2 structure, as listed in Alexandria via LeMat-Bulk.

The structure belongs to space group I-4m2 (No. 119); the cell edges are 4.101, 4.101 and 11.005 Å and the angles 90.00°, 90.00° and 90.00°. The distinct sites, in fractional coordinates, are Nd at (0.000, 0.000, 0.000), Mn at (0.000, 0.500, 0.750), Tc at (0.000, 0.500, 0.250) and Ge at (0.000, 0.000, 0.379).

The calculation puts the formation energy from the elements at -0.475 eV per atom.

---

(5)
First-principles (PBE-GGA) data for a geometry-optimized ZrAl3Au structure, as listed in Alexandria via LeMat-Bulk.

The structure belongs to space group Pm-3m (No. 221); the cell edges are 5.183, 5.183 and 5.183 Å and the angles 90.00°, 90.00° and 90.00°. The distinct sites, in fractional coordinates, are Zr at (0.000, 0.000, 0.000), Al at (0.000, 0.000, 0.500) and Au at (0.500, 0.500, 0.500).

The calculation puts the formation energy from the elements at 1.086 eV per atom. The calculation puts the offset from the most stable computed form at 726 meV/atom.

---

(6)
First-principles (PBE-GGA) data for a geometry-optimized Y4PSe structure, as listed in Alexandria via LeMat-Bulk.

The structure belongs to space group F-43m (No. 216); the cell edges are 8.634, 8.634 and 8.634 Å and the angles 90.00°, 90.00° and 90.00°. The distinct sites, in fractional coordinates, are Y at (0.124, 0.124, 0.124), P at (0.250, 0.250, 0.750) and Se at (0.000, 0.000, 0.500).

Its total energy is -5.61 eV per atom.

---

(7)
First-principles (PBE-GGA) data for a geometry-optimized LaPm2NdY2 structure, as listed in Alexandria via LeMat-Bulk.

The structure belongs to space group Pnnm (No. 58); the cell edges are 6.675, 18.338 and 3.432 Å and the angles 90.00°, 90.00° and 90.00°. The distinct sites, in fractional coordinates, are La at (0.000, 0.000, 0.000), Pm at (0.219, 0.186, 0.000), Nd at (0.000, 0.500, 0.000) and Y at (0.217, 0.351, 0.500).

The calculation puts the formation energy from the elements at 0.267 eV per atom.

---

(8)
First-principles (PBE-GGA) data for a geometry-optimized LaAlIr2 structure, as listed in Alexandria via LeMat-Bulk.

The structure belongs to space group Pmma (No. 51); the cell edges are 7.158, 6.391 and 8.251 Å and the angles 90.00°, 90.00° and 90.00°. The distinct sites, in fractional coordinates, are La at (0.250, 0.000, 0.166), La at (0.250, 0.500, 0.749), Al at (0.250, 0.000, 0.708), Al at (0.250, 0.500, 0.200), Ir at (0.000, 0.000, 0.500), Ir at (0.000, 0.500, 0.000) and Ir at (0.250, 0.283, 0.444).

The calculation puts the formation energy from the elements at -0.185 eV per atom.

---

Table of magnetization (μB per formula unit), in record order: 0.00; 0.00; 2.53; 2.69; 0.00; 0.00; 0.00; 0.00